No. 1
This record from Alexandria via LeMat-Bulk describes a relaxed Sm4BiAs2 crystal. The functional is PBE. Values from VASP.

```
&SYSTEM
  ibrav = 0, nat = 14, ntyp = 3
/
ATOMIC_SPECIES
Sm 150.36 Sm.upf
Bi 208.98 Bi.upf
As 74.92 As.upf
ATOMIC_POSITIONS crystal
Sm 0.0000 0.0000 0.0000
Sm 0.0000 0.0000 0.5000
Sm 0.2654 0.7346 0.6180
Sm 0.2654 0.7346 0.8820
Sm 0.4393 0.5607 0.2500
Sm 0.5607 0.4393 0.7500
Sm 0.7346 0.2654 0.1180
Sm 0.7346 0.2654 0.3820
Bi 0.1077 0.8923 0.2500
Bi 0.8923 0.1077 0.7500
As 0.3650 0.6350 0.0594
As 0.3650 0.6350 0.4406
As 0.6350 0.3650 0.5594
As 0.6350 0.3650 0.9406
CELL_PARAMETERS angstrom
2.1449 -6.9132 0.0000
2.1449 6.9132 0.0000
0.0000 0.0000 14.0919
```

Its crystal system is orthorhombic. As for the space group: No. 63. The calculation puts the size of the total moment at 0.30 μB/f.u. The formation enthalpy at 0 K is -1.135 eV/atom.

No. 2
This record from Alexandria via LeMat-Bulk describes a relaxed Sm2BiAs crystal. The functional is PBE. Values from VASP.

```
&SYSTEM
  ibrav = 0, nat = 4, ntyp = 3
/
ATOMIC_SPECIES
Sm 150.36 Sm.upf
Bi 208.98 Bi.upf
As 74.92 As.upf
ATOMIC_POSITIONS crystal
Sm 0.2424 0.2424 0.2424
Sm 0.7576 0.7576 0.7576
Bi 0.0000 0.0000 0.0000
As 0.5000 0.5000 0.5000
CELL_PARAMETERS angstrom
2.1760 1.2563 7.2587
-2.1760 1.2563 7.2587
0.0000 -2.5126 7.2587
```

Its crystal system is trigonal. As for the space group: No. 166. The calculation puts the size of the total moment at 0.00 μB/f.u. The formation enthalpy at 0 K is -1.205 eV/atom.

No. 3
This record from Alexandria via LeMat-Bulk describes a relaxed Sm7BiAs5 crystal. The functional is PBE. Values from VASP.

```
&SYSTEM
  ibrav = 0, nat = 26, ntyp = 3
/
ATOMIC_SPECIES
Sm 150.36 Sm.upf
Bi 208.98 Bi.upf
As 74.92 As.upf
ATOMIC_POSITIONS crystal
Sm 0.0307 0.9693 0.7500
Sm 0.1362 0.8638 0.0345
Sm 0.1362 0.8638 0.4655
Sm 0.3254 0.6746 0.6730
Sm 0.3254 0.6746 0.8270
Sm 0.4086 0.5914 0.1044
Sm 0.4086 0.5914 0.3956
Sm 0.5914 0.4086 0.6044
Sm 0.5914 0.4086 0.8956
Sm 0.6746 0.3254 0.1730
Sm 0.6746 0.3254 0.3270
Sm 0.8638 0.1362 0.5345
Sm 0.8638 0.1362 0.9655
Sm 0.9693 0.0307 0.2500
Bi 0.2981 0.7019 0.2500
Bi 0.7019 0.2981 0.7500
As 0.0429 0.9571 0.1425
As 0.0429 0.9571 0.3575
As 0.2282 0.7718 0.5727
As 0.2282 0.7718 0.9273
As 0.5000 0.5000 0.0000
As 0.5000 0.5000 0.5000
As 0.7718 0.2282 0.0727
As 0.7718 0.2282 0.4273
As 0.9571 0.0429 0.6425
As 0.9571 0.0429 0.8575
CELL_PARAMETERS angstrom
2.1268 -6.9500 0.0000
2.1268 6.9500 0.0000
0.0000 0.0000 24.9607
```

Its crystal system is orthorhombic. As for the space group: No. 63. The calculation puts the size of the total moment at 0.54 μB/f.u. The formation enthalpy at 0 K is -1.340 eV/atom.

No. 4
This record from Alexandria via LeMat-Bulk describes a relaxed Sm5Bi2As2 crystal. The functional is PBE. Values from VASP.

```
&SYSTEM
  ibrav = 0, nat = 18, ntyp = 3
/
ATOMIC_SPECIES
Sm 150.36 Sm.upf
Bi 208.98 Bi.upf
As 74.92 As.upf
ATOMIC_POSITIONS crystal
Sm 0.0000 0.0000 0.0000
Sm 0.0339 0.7166 0.6590
Sm 0.2166 0.5339 0.1590
Sm 0.2834 0.9661 0.6590
Sm 0.4661 0.7834 0.1590
Sm 0.5000 0.5000 0.5000
Sm 0.5339 0.2166 0.8410
Sm 0.7166 0.0339 0.3410
Sm 0.7834 0.4661 0.8410
Sm 0.9661 0.2834 0.3410
Bi 0.2044 0.2044 0.0000
Bi 0.2956 0.2956 0.5000
Bi 0.7044 0.7044 0.5000
Bi 0.7956 0.7956 0.0000
As 0.1463 0.8537 0.3552
As 0.3537 0.6463 0.8552
As 0.6463 0.3537 0.1448
As 0.8537 0.1463 0.6448
CELL_PARAMETERS angstrom
7.8046 -4.0636 0.0000
7.8046 4.0636 0.0000
0.0000 0.0000 8.1754
```

Its crystal system is orthorhombic. As for the space group: No. 64. The calculation puts the size of the total moment at 0.00 μB/f.u. The formation enthalpy at 0 K is -1.043 eV/atom.

No. 5
This record from Alexandria via LeMat-Bulk describes a relaxed Sm2BiAs crystal. The functional is PBE. Values from VASP.

```
&SYSTEM
  ibrav = 0, nat = 4, ntyp = 3
/
ATOMIC_SPECIES
Sm 150.36 Sm.upf
Bi 208.98 Bi.upf
As 74.92 As.upf
ATOMIC_POSITIONS crystal
Sm 0.0000 0.0000 0.0000
Sm 0.1850 0.1850 0.1850
Bi 0.4251 0.4251 0.4251
As 0.5942 0.5942 0.5942
CELL_PARAMETERS angstrom
2.1613 1.2478 7.4786
-2.1613 1.2478 7.4786
0.0000 -2.4957 7.4786
```

Its crystal system is trigonal. As for the space group: No. 160. The calculation puts the size of the total moment at 0.00 μB/f.u. The formation enthalpy at 0 K is -1.111 eV/atom.

No. 6
This record from Alexandria via LeMat-Bulk describes a relaxed Sm5Bi4As crystal. The functional is PBE. Values from VASP.

```
&SYSTEM
  ibrav = 0, nat = 10, ntyp = 3
/
ATOMIC_SPECIES
Sm 150.36 Sm.upf
Bi 208.98 Bi.upf
As 74.92 As.upf
ATOMIC_POSITIONS crystal
Sm 0.0000 0.0000 0.0000
Sm 0.2006 0.2006 0.0000
Sm 0.4068 0.4068 0.0000
Sm 0.5932 0.5932 0.0000
Sm 0.7994 0.7994 0.0000
Bi 0.0995 0.0995 0.0000
Bi 0.3026 0.3026 0.0000
Bi 0.6974 0.6974 0.0000
Bi 0.9005 0.9005 0.0000
As 0.5000 0.5000 0.0000
CELL_PARAMETERS angstrom
-2.2493 2.2493 15.8652
2.2493 -2.2493 15.8652
2.2493 2.2493 -15.8652
```

Its crystal system is tetragonal. As for the space group: No. 139. The energy relative to the lowest polymorph listed for this composition comes out at 0.004 eV per atom. The calculation puts the size of the total moment at 0.00 μB/f.u. The formation enthalpy at 0 K is -1.016 eV/atom.

No. 7
This record from Alexandria via LeMat-Bulk describes a relaxed SmBiAs crystal. The functional is PBE. Values from VASP.

```
&SYSTEM
  ibrav = 0, nat = 12, ntyp = 3
/
ATOMIC_SPECIES
Sm 150.36 Sm.upf
Bi 208.98 Bi.upf
As 74.92 As.upf
ATOMIC_POSITIONS crystal
Sm 0.3333 0.6667 0.0922
Sm 0.3333 0.6667 0.4078
Sm 0.6667 0.3333 0.5922
Sm 0.6667 0.3333 0.9078
Bi 0.0000 0.0000 0.0000
Bi 0.0000 0.0000 0.2500
Bi 0.0000 0.0000 0.5000
Bi 0.0000 0.0000 0.7500
As 0.3333 0.6667 0.6661
As 0.3333 0.6667 0.8339
As 0.6667 0.3333 0.1661
As 0.6667 0.3333 0.3339
CELL_PARAMETERS angstrom
4.3122 0.0000 0.0000
-2.1561 3.7345 0.0000
0.0000 0.0000 21.8805
```

Its crystal system is hexagonal. As for the space group: No. 194. The calculation puts the size of the total moment at 0.00 μB/f.u. The formation enthalpy at 0 K is -0.681 eV/atom.

No. 8
This record from Alexandria via LeMat-Bulk describes a relaxed Sm3BiAs crystal. The functional is PBE. Values from VASP.

```
&SYSTEM
  ibrav = 0, nat = 20, ntyp = 3
/
ATOMIC_SPECIES
Sm 150.36 Sm.upf
Bi 208.98 Bi.upf
As 74.92 As.upf
ATOMIC_POSITIONS crystal
Sm 0.0198 0.2500 0.1072
Sm 0.1538 0.2500 0.5332
Sm 0.1775 0.7500 0.2850
Sm 0.3225 0.2500 0.7850
Sm 0.3462 0.7500 0.0332
Sm 0.4802 0.7500 0.6072
Sm 0.5198 0.2500 0.3928
Sm 0.6538 0.2500 0.9668
Sm 0.6775 0.7500 0.2150
Sm 0.8225 0.2500 0.7150
Sm 0.8462 0.7500 0.4668
Sm 0.9802 0.7500 0.8928
Bi 0.1044 0.7500 0.6886
Bi 0.3956 0.2500 0.1886
Bi 0.6044 0.7500 0.8114
Bi 0.8956 0.2500 0.3114
As 0.1890 0.2500 0.9476
As 0.3110 0.7500 0.4476
As 0.6890 0.2500 0.5524
As 0.8110 0.7500 0.0524
CELL_PARAMETERS angstrom
8.6295 0.0000 0.0000
0.0000 4.3522 0.0000
0.0000 0.0000 15.8769
```

Its crystal system is orthorhombic. As for the space group: No. 62. The calculation puts the size of the total moment at 0.00 μB/f.u. The formation enthalpy at 0 K is -0.984 eV/atom.

No. 9
This record from Alexandria via LeMat-Bulk describes a relaxed TbSmBiAs crystal. The functional is PBE. Values from VASP.

```
&SYSTEM
  ibrav = 0, nat = 4, ntyp = 4
/
ATOMIC_SPECIES
Tb 158.93 Tb.upf
Sm 150.36 Sm.upf
Bi 208.98 Bi.upf
As 74.92 As.upf
ATOMIC_POSITIONS crystal
Tb 0.0000 0.0000 0.0000
Sm 0.4845 0.4845 0.4845
Bi 0.2437 0.2437 0.2437
As 0.7407 0.7407 0.7407
CELL_PARAMETERS angstrom
2.1575 1.2456 7.2055
-2.1575 1.2456 7.2055
0.0000 -2.4912 7.2055
```

Its crystal system is trigonal. As for the space group: No. 160. The calculation puts the size of the total moment at 0.00 μB/f.u. The formation enthalpy at 0 K is -1.194 eV/atom.

No. 10
This record from Alexandria via LeMat-Bulk describes a relaxed Sm6Bi3TeAs2 crystal. The functional is PBE. Values from VASP.

```
&SYSTEM
  ibrav = 0, nat = 12, ntyp = 4
/
ATOMIC_SPECIES
Sm 150.36 Sm.upf
Bi 208.98 Bi.upf
Te 127.60 Te.upf
As 74.92 As.upf
ATOMIC_POSITIONS crystal
Sm 0.0088 0.0088 0.2563
Sm 0.3278 0.3278 0.4289
Sm 0.3297 0.3297 0.8979
Sm 0.6703 0.6703 0.1021
Sm 0.6722 0.6722 0.5711
Sm 0.9912 0.9912 0.7437
Bi 0.1625 0.1625 0.8325
Bi 0.5000 0.5000 0.5000
Bi 0.8375 0.8375 0.1675
Te 0.5000 0.5000 0.0000
As 0.1683 0.1683 0.3345
As 0.8317 0.8317 0.6655
CELL_PARAMETERS angstrom
9.6429 -2.2045 0.0000
9.6429 2.2045 0.0000
-2.0669 0.0000 8.6458
```

Its crystal system is monoclinic. As for the space group: No. 12. The value obtained for the uncorrected formation energy is -1.2066 eV per atom. The calculation puts the size of the total moment at 0.00 μB/f.u.

No. 11
This record from Alexandria via LeMat-Bulk describes a relaxed Sm4BiTe2As crystal. The functional is PBE. Values from VASP.

```
&SYSTEM
  ibrav = 0, nat = 8, ntyp = 4
/
ATOMIC_SPECIES
Sm 150.36 Sm.upf
Bi 208.98 Bi.upf
Te 127.60 Te.upf
As 74.92 As.upf
ATOMIC_POSITIONS crystal
Sm 0.2270 0.0000 0.2272
Sm 0.2369 0.5000 0.7628
Sm 0.7631 0.5000 0.2372
Sm 0.7730 0.0000 0.7728
Bi 0.0000 0.0000 0.5000
Te 0.5000 0.0000 0.0000
Te 0.5000 0.5000 0.5000
As 0.0000 0.5000 0.0000
CELL_PARAMETERS angstrom
7.6740 0.0000 0.0000
0.0000 4.3953 0.0000
-2.5309 0.0000 7.2670
```

Its crystal system is monoclinic. As for the space group: No. 10. The value obtained for the uncorrected formation energy is -1.3349 eV per atom. The calculation puts the size of the total moment at 0.00 μB/f.u.

No. 12
This record from Alexandria via LeMat-Bulk describes a relaxed Sm4Bi2TeAs crystal. The functional is PBE. Values from VASP.

```
&SYSTEM
  ibrav = 0, nat = 8, ntyp = 4
/
ATOMIC_SPECIES
Sm 150.36 Sm.upf
Bi 208.98 Bi.upf
Te 127.60 Te.upf
As 74.92 As.upf
ATOMIC_POSITIONS crystal
Sm 0.2341 0.0000 0.2333
Sm 0.2419 0.5000 0.7601
Sm 0.7581 0.5000 0.2399
Sm 0.7659 0.0000 0.7667
Bi 0.5000 0.0000 0.0000
Bi 0.5000 0.5000 0.5000
Te 0.0000 0.0000 0.5000
As 0.0000 0.5000 0.0000
CELL_PARAMETERS angstrom
7.6985 0.0000 0.0000
0.0000 4.4342 0.0000
-2.5436 0.0000 7.2743
```

Its crystal system is monoclinic. As for the space group: No. 10. The value obtained for the uncorrected formation energy is -1.1989 eV per atom. The calculation puts the size of the total moment at 0.00 μB/f.u.